Ba2LiTlP: relaxed, PBE-GGA.

Summary:
SG	P4/mmm, No. 123
spin magnetization	0.0721	μB per atom
calculated volume	187.2	Å³/cell
formation enthalpy at 0 K	-0.509	eV/atom
DFT total energy	-3.22	eV per atom

abc: 6.331 6.331 4.670
angles: 90.00 90.00 90.00
Fractional coordinates of all 5 atoms:
1 Ba 0.000 0.500 0.000
2 Ba 0.500 0.000 0.000
3 Li 0.000 0.000 0.500
4 Tl 0.500 0.500 0.500
5 P 0.000 0.000 0.000